one.
DFT (PBE) results for a geometry-optimized SrB3Os structure.

Computed properties:
As for the density of states at the Fermi level: 6.62 states/eV per cell. The calculation puts the calculated density at 6.8 g/cm3.

a = 4.2258 Å, b = 4.2258 Å, c = 4.2258 Å
α = 90.00°, β = 90.00°, γ = 90.00°
Closest atoms and distances in Å follow each position.
Space group Pm-3m (No. 221)
Unique sites:
Sr (0.0000, 0.0000, 0.0000) [1 per cell]  6 B 2.11
B (0.0000, 0.0000, 0.5000) [3 per cell]  2 Sr 2.11
Os (0.5000, 0.5000, 0.5000) [1 per cell]  12 B 2.99

***

two.
DFT (PBE) results for a geometry-optimized SrB3Os structure.

Computed properties:
As for the density of states at the Fermi level: 1.39 states/eV per cell. The calculation puts the calculated density at 7.1 g/cm3.

a = 4.1722 Å, b = 4.1722 Å, c = 4.1722 Å
α = 90.00°, β = 90.00°, γ = 90.00°
Closest atoms and distances in Å follow each position.
Space group Pm-3m (No. 221)
Unique sites:
Sr (0.0000, 0.0000, 0.0000) [1 per cell]  12 B 2.95
B (0.0000, 0.5000, 0.5000) [3 per cell]  2 Os 2.09
Os (0.5000, 0.5000, 0.5000) [1 per cell]  6 B 2.09

***

Which is most stable, and by how much? two, by 3.395 eV/atom.

***

one.
DFT (PBE) results for a geometry-optimized TaB3Os structure.

Computed properties:
As for the density of states at the Fermi level: 4.70 states/eV per cell. The calculation puts the calculated density at 10.6 g/cm3.

a = 3.9861 Å, b = 3.9861 Å, c = 3.9861 Å
α = 90.00°, β = 90.00°, γ = 90.00°
Closest atoms and distances in Å follow each position.
Space group Pm-3m (No. 221)
Unique sites:
Ta (0.0000, 0.0000, 0.0000) [1 per cell]  12 B 2.82
B (0.0000, 0.5000, 0.5000) [3 per cell]  2 Os 1.99
Os (0.5000, 0.5000, 0.5000) [1 per cell]  6 B 1.99

***

two.
DFT (PBE) results for a geometry-optimized TaB3Os structure.

Computed properties:
As for the density of states at the Fermi level: 2.05 states/eV per cell. The calculation puts the calculated density at 9.9 g/cm3.

a = 4.0711 Å, b = 4.0711 Å, c = 4.0711 Å
α = 90.00°, β = 90.00°, γ = 90.00°
Closest atoms and distances in Å follow each position.
Space group Pm-3m (No. 221)
Unique sites:
Ta (0.0000, 0.0000, 0.0000) [1 per cell]  6 B 2.04
B (0.0000, 0.0000, 0.5000) [3 per cell]  2 Ta 2.04
Os (0.5000, 0.5000, 0.5000) [1 per cell]  12 B 2.88

***

Which is most stable, and by how much? one, by 0.902 eV/atom.

***

one.
DFT (PBE) results for a geometry-optimized TbB2Os structure.

Computed properties:
As for the density of states at the Fermi level: 4.32 states/eV per cell. The calculation puts the calculated density at 11.2 g/cm3.

a = 3.6728 Å, b = 3.6728 Å, c = 14.1531 Å
α = 90.00°, β = 90.00°, γ = 120.00°
Closest atoms and distances in Å follow each position.
Space group R-3m (No. 166, hexagonal axes)
Unique sites:
Tb (0.0000, 0.0000, 0.0000) [3 per cell]  8 B 2.78-2.92
B (0.0000, 0.0000, 0.2066) [6 per cell]  3 Os 2.19, 3 B 2.40
Os (0.0000, 0.0000, 0.5000) [3 per cell]  6 B 2.19

***

two.
DFT (PBE) results for a geometry-optimized TbB2Os structure.

Computed properties:
As for the density of states at the Fermi level: 8.62 states/eV per cell. The calculation puts the calculated density at 12.2 g/cm3.

a = 5.9243 Å, b = 5.3331 Å, c = 6.4016 Å
α = 90.00°, β = 90.00°, γ = 90.00°
Closest atoms and distances in Å follow each position.
Space group Pnma (No. 62)
Unique sites:
Tb (0.0096, 0.2500, 0.1638) [4 per cell]  8 B 2.63-2.94
B (0.1358, 0.5826, 0.4595) [8 per cell]  2 B 1.79-1.91
Os (0.1771, 0.2500, 0.6804) [4 per cell]  6 B 2.24-2.28

***

Which is most stable, and by how much? two, by 0.302 eV/atom.

***

one.
DFT (PBE) results for a geometry-optimized BTeOs2 structure.

Computed properties:
As for the density of states at the Fermi level: 13.04 states/eV per cell. The calculation puts the calculated density at 12.1 g/cm3.

a = 4.7282 Å, b = 4.7282 Å, c = 12.7332 Å
α = 90.00°, β = 90.00°, γ = 90.00°
Closest atoms and distances in Å follow each position.
Space group I-42d (No. 122)
Unique sites:
B (0.0000, 0.0000, 0.0000) [4 per cell]  4 Os 2.08
Te (0.0000, 0.0000, 0.5000) [4 per cell]  4 Os 2.64
Os (0.1314, 0.2500, 0.1250) [8 per cell]  2 B 2.08

***

two.
DFT (PBE) results for a geometry-optimized BTeOs2 structure.

Computed properties:
As for the density of states at the Fermi level: 6.83 states/eV per cell. The calculation puts the calculated density at 15.1 g/cm3.

a = 6.1093 Å, b = 6.1093 Å, c = 6.1093 Å
α = 90.00°, β = 90.00°, γ = 90.00°
Closest atoms and distances in Å follow each position.
Space group Fm-3m (No. 225)
Unique sites:
B (0.0000, 0.0000, 0.0000) [4 per cell]  8 Os 2.65
Te (0.0000, 0.0000, 0.5000) [4 per cell]  8 Os 2.65
Os (0.2500, 0.2500, 0.2500) [8 per cell]  4 B 2.65, 4 Te 2.65

***

Which is most stable, and by how much? one, by 0.415 eV/atom.